VASP calculation (PBE) on AlNiPb2 after structural relaxation.

Properties
Density of states at the Fermi level in states/eV/f.u.: 1.37
E_form in eV/atom: -0.04
Symmetry: No. 8
E_tot in eV per atom: -4.27

Geometry as POSCAR:
```
AlNiPb2
1.0
4.122 -0.030 0.041
2.086 3.556 0.041
1.971 1.119 6.656
Ni Pb Al
1 2 1
direct
0.208 0.208 0.376 Ni
0.965 0.965 0.099 Pb
0.785 0.785 0.651 Pb
0.542 0.542 0.374 Al
```



VASP calculation (PBE) on Cr2CoRu after structural relaxation.

Properties
Density of states at the Fermi level in states/eV/f.u.: 3.99
E_form in eV/atom: 0.21
Symmetry: No. 160
E_tot in eV per atom: -8.70

Geometry as POSCAR:
```
Cr2CoRu
1.0
-0.698 7.952 -2.973
-0.317 6.722 -5.222
-2.702 6.886 -4.222
Cr Ru Co
2 1 1
direct
0.003 0.003 0.003 Cr
0.250 0.250 0.250 Cr
0.502 0.502 0.502 Ru
0.746 0.746 0.746 Co
```



VASP calculation (PBE) on Ba2YZrSe6 after structural relaxation.

Properties
Density of states at the Fermi level in states/eV/f.u.: 5.79
Symmetry: No. 59
E_tot in eV per atom: -5.56
Formation energy from raw total energies in eV per atom: -1.587

Geometry as POSCAR:
```
Ba2YZrSe6
1.0
7.659 0.000 0.000
0.000 7.623 0.000
0.000 0.000 10.793
Se Y Ba Zr
12 2 4 2
direct
0.000 0.762 0.256 Se
0.236 0.487 0.500 Se
0.250 0.020 0.000 Se
0.500 0.238 0.756 Se
0.736 0.513 0.000 Se
0.750 0.020 0.000 Se
0.250 0.980 0.500 Se
0.500 0.238 0.244 Se
0.750 0.980 0.500 Se
0.264 0.513 0.000 Se
0.000 0.762 0.744 Se
0.764 0.487 0.500 Se
0.500 0.242 0.500 Y
0.000 0.758 0.000 Y
0.500 0.773 0.234 Ba
0.500 0.773 0.766 Ba
0.000 0.227 0.734 Ba
0.000 0.227 0.266 Ba
0.500 0.262 0.000 Zr
0.000 0.738 0.500 Zr
```



VASP calculation (PBE) on Nb2PtRh2 after structural relaxation.

Properties
Density of states at the Fermi level in states/eV/f.u.: 3.55
E_form in eV/atom: -0.21
Symmetry: No. 127
E_tot in eV per atom: -8.38

Geometry as POSCAR:
```
Nb2PtRh2
1.0
-1.022 7.033 2.810
1.633 -2.564 7.012
2.801 0.582 -0.439
Nb Rh Pt
4 4 2
direct
0.161 0.339 0.000 Nb
0.661 0.161 0.000 Nb
0.839 0.661 0.000 Nb
0.339 0.839 0.000 Nb
0.367 0.133 0.500 Rh
0.867 0.367 0.500 Rh
0.133 0.633 0.500 Rh
0.633 0.867 0.500 Rh
0.000 0.000 0.000 Pt
0.500 0.500 0.000 Pt
```